Record 1
{"formula": "ReSe3", "functional": "PBE-GGA", "state": "optimized geometry", "cell": [[2.9788, 0.0000, 0.0000], [0.0000, 10.8000, 0.0000], [0.0000, 0.0000, 6.5207]], "species": ["Re", "Re", "Se", "Se", "Se", "Se", "Se", "Se"], "fractional_positions": [[0.2500, 0.2500, 0.1124], [0.7500, 0.7500, 0.8876], [0.2500, 0.5896, 0.7374], [0.2500, 0.7500, 0.1931], [0.2500, 0.9104, 0.7374], [0.7500, 0.0896, 0.2626], [0.7500, 0.2500, 0.8069], [0.7500, 0.4104, 0.2626]], "de_polymorph_ev_per_atom": 0.0031, "raw_formation_energy_ev_per_atom": -0.024, "total_energy_ev_per_atom": -5.75, "spacegroup": "Pmmn, No. 59", "m_tot_mub_per_cell": 0.00}



Record 2
{"formula": "Sr3MnH", "functional": "PBE-GGA", "state": "optimized geometry", "cell": [[5.3620, 0.0000, 0.0000], [0.0000, 5.3620, 0.0000], [0.0000, 0.0000, 5.3620]], "species": ["Sr", "Sr", "Sr", "Mn", "H"], "fractional_positions": [[0.0000, 0.0000, 0.5000], [0.0000, 0.5000, 0.0000], [0.5000, 0.0000, 0.0000], [0.5000, 0.5000, 0.5000], [0.0000, 0.0000, 0.0000]], "de_polymorph_ev_per_atom": 0.0000, "total_energy_ev_per_atom": -3.33, "spacegroup": "Pm-3m, No. 221", "m_tot_mub_per_cell": 3.99}



Record 3
{"formula": "CaV3N", "functional": "PBE-GGA", "state": "optimized geometry", "cell": [[4.2931, 0.0000, 0.0000], [0.0000, 4.2931, 0.0000], [0.0000, 0.0000, 4.2931]], "species": ["Ca", "V", "V", "V", "N"], "fractional_positions": [[0.0000, 0.0000, 0.0000], [0.0000, 0.0000, 0.5000], [0.0000, 0.5000, 0.0000], [0.5000, 0.0000, 0.0000], [0.5000, 0.5000, 0.5000]], "de_polymorph_ev_per_atom": 3.1299, "raw_formation_energy_ev_per_atom": 3.177, "total_energy_ev_per_atom": -4.36, "spacegroup": "Pm-3m, No. 221", "m_tot_mub_per_cell": 0.00}



Record 4
{"formula": "RbGaSn6", "functional": "PBE-GGA", "state": "optimized geometry", "cell": [[5.0615, 0.0000, 0.0000], [0.0000, 5.0615, 0.0000], [0.0000, 0.0000, 10.0463]], "species": ["Rb", "Ga", "Sn", "Sn", "Sn", "Sn", "Sn", "Sn"], "fractional_positions": [[0.0000, 0.0000, 0.0000], [0.0000, 0.0000, 0.5000], [0.0000, 0.5000, 0.3369], [0.0000, 0.5000, 0.6631], [0.5000, 0.0000, 0.3369], [0.5000, 0.0000, 0.6631], [0.5000, 0.5000, 0.1569], [0.5000, 0.5000, 0.8431]], "total_energy_ev_per_atom": -3.53, "spacegroup": "P4/mmm, No. 123", "delta_e_f_mev_per_atom": -29, "m_tot_mub_per_cell": 0.00}



Record 5
{"formula": "Li2PmIn2Hg2", "functional": "PBE-GGA", "state": "optimized geometry", "cell": [[4.3304, -2.4196, 0.0000], [4.3304, 2.4196, 0.0000], [-2.3284, 0.0000, 7.5104]], "species": ["Li", "Li", "Pm", "In", "In", "Hg", "Hg"], "fractional_positions": [[0.1392, 0.1392, 0.4405], [0.8608, 0.8608, 0.5595], [0.0000, 0.0000, 0.0000], [0.4200, 0.4200, 0.2907], [0.5800, 0.5800, 0.7093], [0.2775, 0.2775, 0.8060], [0.7225, 0.7225, 0.1940]], "total_energy_ev_per_atom": -2.47, "spacegroup": "C2/m, No. 12", "delta_e_f_mev_per_atom": -378, "m_tot_mub_per_cell": 0.00}



Record 6
{"formula": "Mn2Tc", "functional": "PBE-GGA", "state": "optimized geometry", "cell": [[4.8292, -1.3029, 0.0000], [4.8292, 1.3029, 0.0000], [-1.4937, 0.0000, 6.0022]], "species": ["Mn", "Mn", "Mn", "Mn", "Tc", "Tc"], "fractional_positions": [[0.0000, 0.0000, 0.0000], [0.0640, 0.0640, 0.6109], [0.3464, 0.3464, 0.6712], [0.6633, 0.6633, 0.3411], [0.3925, 0.3925, 0.2895], [0.7214, 0.7214, 0.9372]], "de_polymorph_ev_per_atom": 0.1764, "total_energy_ev_per_atom": -9.47, "spacegroup": "Cm, No. 8", "delta_e_f_mev_per_atom": 94, "m_tot_mub_per_cell": 0.35}



Record 7
{"formula": "TaReRu", "functional": "PBE-GGA", "state": "optimized geometry", "cell": [[4.7392, -2.2307, 0.0000], [4.7392, 2.2307, 0.0000], [-3.4451, 0.0000, 4.5683]], "species": ["Ta", "Ta", "Re", "Re", "Ru", "Ru"], "fractional_positions": [[0.0196, 0.0196, 0.2730], [0.9804, 0.9804, 0.7270], [0.3433, 0.3433, 0.9049], [0.6567, 0.6567, 0.0951], [0.3248, 0.3248, 0.3329], [0.6752, 0.6752, 0.6671]], "de_polymorph_ev_per_atom": 0.1335, "total_energy_ev_per_atom": -11.15, "spacegroup": "C2/m, No. 12", "delta_e_f_mev_per_atom": 47, "m_tot_mub_per_cell": 0.00}



Record 8
{"formula": "ScBPS2", "functional": "PBE-GGA", "state": "optimized geometry", "cell": [[4.8859, 0.0000, 0.0000], [0.0000, 4.8859, 0.0000], [0.0000, 0.0000, 5.0342]], "species": ["Sc", "B", "P", "S", "S"], "fractional_positions": [[0.0000, 0.0000, 0.0000], [0.5000, 0.5000, 0.5000], [0.0000, 0.0000, 0.5000], [0.0000, 0.5000, 0.0000], [0.5000, 0.0000, 0.0000]], "de_polymorph_ev_per_atom": 0.8497, "raw_formation_energy_ev_per_atom": 0.854, "total_energy_ev_per_atom": -4.48, "spacegroup": "P4/mmm, No. 123", "m_tot_mub_per_cell": 0.89}



Record 9
{"formula": "Ti2MnZnSe", "functional": "PBE-GGA", "state": "optimized geometry", "cell": [[4.7060, 0.0000, 0.0000], [0.0000, 4.7060, 0.0000], [0.0000, 0.0000, 4.5638]], "species": ["Ti", "Ti", "Mn", "Zn", "Se"], "fractional_positions": [[0.0000, 0.5000, 0.0000], [0.5000, 0.0000, 0.0000], [0.0000, 0.0000, 0.5000], [0.5000, 0.5000, 0.0000], [0.5000, 0.5000, 0.5000]], "raw_formation_energy_ev_per_atom": 1.315, "total_energy_ev_per_atom": -4.63, "spacegroup": "P4/mmm, No. 123", "m_tot_mub_per_cell": 0.30}



Record 10
{"formula": "ErGa2Tc", "functional": "PBE-GGA", "state": "optimized geometry", "cell": [[0.0000, 3.2692, 3.2692], [3.2692, 0.0000, 3.2692], [3.2692, 3.2692, 0.0000]], "species": ["Er", "Ga", "Ga", "Tc"], "fractional_positions": [[0.0000, 0.0000, 0.0000], [0.2500, 0.2500, 0.2500], [0.7500, 0.7500, 0.7500], [0.5000, 0.5000, 0.5000]], "de_polymorph_ev_per_atom": 0.2060, "total_energy_ev_per_atom": -5.51, "spacegroup": "Fm-3m, No. 225", "delta_e_f_mev_per_atom": -259, "m_tot_mub_per_cell": 0.00}